(1)
Computed, not measured: a relaxed K2NaAuF6 crystal at the PBE-GGA level of DFT.

**Raw formation energy**: -2.094 eV per atom
**Magnetic moment**: 0.0 μB/f.u.
**ρ**: 4.0 g/cm3

Geometry as POSCAR:
```
K2NaAuF6
1.0
-2.9692 2.9692 4.9121
2.9692 -2.9692 4.9121
2.9692 2.9692 -4.9121
K Na Au F
2 1 1 6
Cartesian
2.9692 0.0000 2.4561 K
0.0000 2.9692 2.4561 K
0.0000 0.0000 0.0000 Na
0.0000 0.0000 4.9121 Au
0.0000 0.0000 2.2375 F
1.5769 1.5769 0.0000 F
1.3923 -1.3923 4.9121 F
-1.3923 1.3923 4.9121 F
1.3923 1.3923 4.9121 F
0.0000 0.0000 7.5868 F
```



(2)
Computed, not measured: a relaxed LaSc5Ag4 crystal at the PBE-GGA level of DFT.

**ΔE_f**: -0.198 eV per atom
**Magnetic moment**: 0.0 μB/f.u.
**ρ**: 5.9 g/cm3

Geometry as POSCAR:
```
LaSc5Ag4
1.0
3.4082 0.0000 0.0000
0.0000 3.4082 0.0000
0.0000 0.0000 19.1391
La Sc Ag
1 5 4
Cartesian
0.0000 0.0000 0.0000 La
1.7041 1.7041 2.5898 Sc
1.7041 1.7041 6.0612 Sc
1.7041 1.7041 9.5696 Sc
1.7041 1.7041 13.0779 Sc
1.7041 1.7041 16.5493 Sc
0.0000 0.0000 4.3054 Ag
0.0000 0.0000 7.8291 Ag
0.0000 0.0000 11.3100 Ag
0.0000 0.0000 14.8337 Ag
```



(3)
Computed, not measured: a relaxed Be5Ru3 crystal at the PBE-GGA level of DFT.

**Polymorph energy (0 for the lowest one)**: 0.45 eV per formula unit
**ΔE_f**: -0.202 eV per atom
**Magnetic moment**: 0.0 μB/f.u.
**ρ**: 7.0 g/cm3

Geometry as POSCAR:
```
Be5Ru3
1.0
4.3759 0.0000 0.0000
1.8205 6.0945 0.0000
1.9987 0.2790 6.1709
Be Ru
10 6
Cartesian
0.0000 0.0000 0.0000 Be
0.8548 1.5992 1.2125 Be
1.9896 0.5340 3.9574 Be
2.9532 2.1879 5.1662 Be
3.1309 4.4043 0.5070 Be
4.1172 3.5886 2.2801 Be
3.8442 1.4931 2.9916 Be
5.0838 2.1923 4.5242 Be
6.1974 3.9552 4.8855 Be
5.3652 3.8100 0.5231 Be
1.9230 2.7912 2.8377 Ru
4.0303 4.3326 4.4929 Ru
4.2880 6.0016 1.7217 Ru
3.1729 2.1549 0.4825 Ru
6.0551 6.2585 5.1517 Ru
6.4206 5.2796 2.6400 Ru
```



(4)
Computed, not measured: a relaxed CaPrGa2Ir2 crystal at the PBE-GGA level of DFT.

**ΔE_f**: -0.629 eV per atom
**Magnetic moment**: 0.0 μB/f.u.
**ρ**: 9.1 g/cm3

Geometry as POSCAR:
```
CaPrGa2Ir2
1.0
4.3411 0.0000 0.0000
-2.1705 3.7595 0.0000
0.0000 0.0000 7.8848
Ca Pr Ga Ir
1 1 2 2
Cartesian
0.0000 0.0000 0.0000 Ca
0.0000 0.0000 3.9424 Pr
0.0000 2.5063 5.9912 Ga
2.1705 1.2532 1.8937 Ga
0.0000 2.5063 2.0121 Ir
2.1705 1.2532 5.8727 Ir
```